A plane-wave DFT calculation with PBE was carried out for crystalline MnGaPCl at its relaxed geometry.

Unit cell a=3.7597 b=3.7597 c=18.9886 alpha=90.00 beta=90.00 gamma=120.00
Closest atoms and distances in Å follow each position.
Space group R3m (No. 160, hexagonal axes)
Asymmetric unit:
Mn1 0.0000 0.0000 0.0000 x3  3 P 2.18, 1 Ga 2.32, 1 Cl 2.41
Ga1 0.0000 0.0000 0.1223 x3  1 Mn 2.32
P1 0.0000 0.0000 0.3440 x3  3 Mn 2.18
Cl1 0.0000 0.0000 0.8731 x3  1 Mn 2.41, 3 Ga 2.70

Calculated values
uncorrected formation energy = -0.160 eV/atom
energy above the most stable polymorph in this dataset = 0.092 eV per atom

A plane-wave DFT calculation with PBE was carried out for crystalline TiCd2TcOs at its relaxed geometry.

Unit cell a=5.1090 b=5.1090 c=4.3877 alpha=90.00 beta=90.00 gamma=90.00
Closest atoms and distances in Å follow each position.
Space group P4/mmm (No. 123)
Asymmetric unit:
Ti1 0.0000 0.0000 0.0000 x1  2 Tc 2.19
Cd1 0.0000 0.5000 0.5000 x2  2 Tc 2.55
Tc1 0.0000 0.0000 0.5000 x1  2 Ti 2.19
Os1 0.5000 0.5000 0.0000 x1  8 Cd 3.37, 4 Ti 3.61

Calculated values
energy of formation from the pure elements = 1.549 eV/atom

no.,E_tot (eV/atom)
1,-5.02
2,-4.72